The following is a GGA-PBE calculation of crystalline CoAgPtPb at its relaxed geometry, from the Open Quantum Materials Database.

Cell and atoms, written as POSCAR:
```
CoAgPtPb
1.0
6.5089 0.0000 0.0000
0.0000 6.5089 0.0000
0.0000 0.0000 6.5089
Co Ag Pt Pb
4 4 4 4
direct
0.0000 0.0000 0.0000
0.0000 0.5000 0.5000
0.5000 0.0000 0.5000
0.5000 0.5000 0.0000
0.2500 0.2500 0.2500
0.2500 0.7500 0.7500
0.7500 0.2500 0.7500
0.7500 0.7500 0.2500
0.0000 0.0000 0.5000
0.0000 0.5000 0.0000
0.5000 0.0000 0.0000
0.5000 0.5000 0.5000
0.2500 0.2500 0.7500
0.2500 0.7500 0.2500
0.7500 0.2500 0.2500
0.7500 0.7500 0.7500
```

Properties
* space-group type: No. 216
* offset from the most stable computed form: 0.000 eV per atom
* calculated volume: 17.2 Å³ per atom
* crystal system: cubic